The following is a DFT calculation (PBE-GGA) of a geometry-optimized KRe3Ni structure.

```
KRe3Ni
1.0
4.441 0.000 0.000
0.000 4.441 0.000
0.000 0.000 4.441
K Re Ni
1 3 1
Direct
0.000 0.000 0.000
0.000 0.000 0.500
0.000 0.500 0.000
0.500 0.000 0.000
0.500 0.500 0.500
```

## Properties
- symmetry = No. 221
- calculated volume (A^3/atom) = 17.521
- E (eV per atom) = -4.906
- offset from the most stable computed form (eV per formula unit) = 8.72
- calculated formation energy (eV per atom) = 3.94


The following is a DFT calculation (PBE-GGA) of a geometry-optimized KNiB3 structure.

```
KNiB3
1.0
3.984 0.000 0.000
0.000 3.984 0.000
0.000 0.000 3.984
K Ni B
1 1 3
Direct
0.000 0.000 0.000
0.500 0.500 0.500
0.000 0.500 0.500
0.500 0.000 0.500
0.500 0.500 0.000
```

## Properties
- symmetry = No. 221
- calculated volume (A^3/atom) = 12.647
- E (eV per atom) = -4.232
- offset from the most stable computed form (eV per formula unit) = 0.00
- calculated formation energy (eV per atom) = 1.15


- Which of these has the highest calculated volume?
  KRe3Ni